[1]
# La8TlCo2, relaxed, DFT PBE-GGA
# Distance to the lowest polymorph of the same formula = 0.000 eV/atom
data_La8TlCo2
_cell_length_a 15.1366
_cell_length_b 7.0930
_cell_length_c 6.4984
_cell_angle_alpha 90.00
_cell_angle_beta 95.12
_cell_angle_gamma 90.00
_space_group_name_H-M_alt 'C 1 2/m 1'
_space_group_IT_number 12
_space_group_name_Hall '-C 2y'
loop_
_atom_site_label
_atom_site_fract_x
_atom_site_fract_y
_atom_site_fract_z
_atom_site_occupancy
La1 0.0781 0.0000 0.3233 1
La2 0.1310 0.2650 0.8865 1
La3 0.2090 0.5000 0.3916 1
Tl1 0.0000 0.5000 0.5000 1
Co1 0.2259 0.0000 0.1727 1

***

[2]
# SbPtSe2, relaxed, DFT PBE-GGA
# E_form (uncorrected) = -0.1382 eV per atom
data_SbPtSe2
_cell_length_a 5.5502
_cell_length_b 8.5390
_cell_length_c 3.6690
_cell_angle_alpha 90.00
_cell_angle_beta 90.00
_cell_angle_gamma 90.00
_space_group_name_H-M_alt 'C m m m'
_space_group_IT_number 65
_space_group_name_Hall '-C 2 2'
loop_
_atom_site_label
_atom_site_fract_x
_atom_site_fract_y
_atom_site_fract_z
_atom_site_occupancy
Sb1 0.0000 0.0000 0.0000 1
Pt1 0.0000 0.5000 0.0000 1
Se1 0.0000 0.2907 0.5000 1

***

[3]
# SrTcSn2Sb, relaxed, DFT PBE-GGA
# E_form (uncorrected) = 0.1711 eV per atom
data_SrTcSn2Sb
_cell_length_a 5.1708
_cell_length_b 5.1708
_cell_length_c 5.7830
_cell_angle_alpha 90.00
_cell_angle_beta 90.00
_cell_angle_gamma 90.00
_space_group_name_H-M_alt 'P 4/m m m'
_space_group_IT_number 123
_space_group_name_Hall '-P 4 2'
loop_
_atom_site_label
_atom_site_fract_x
_atom_site_fract_y
_atom_site_fract_z
_atom_site_occupancy
Sr1 0.0000 0.0000 0.0000 1
Tc1 0.0000 0.0000 0.5000 1
Sn1 0.0000 0.5000 0.5000 1
Sb1 0.5000 0.5000 0.0000 1